{"formula": "Bi4Pb6O19", "functional": "PBE", "state": "relaxed", "lattice_angstrom": [[7.9488, 0.0000, -2.8103], [-3.9744, 6.8839, -2.8103], [0.0000, 0.0000, 8.4310]], "species": ["O", "O", "O", "O", "O", "O", "O", "O", "O", "O", "O", "O", "O", "O", "O", "O", "O", "O", "O", "Pb", "Pb", "Pb", "Pb", "Pb", "Pb", "Bi", "Bi", "Bi", "Bi"], "fractional_positions": [[0.2216, 0.9683, 0.6283], [0.0000, 0.6495, 0.6495], [0.6283, 0.2216, 0.9683], [0.3505, 0.3505, 0.0000], [0.4067, 0.7467, 0.7784], [0.3400, 0.5933, 0.3717], [0.0000, 0.3505, 0.3505], [0.3717, 0.3400, 0.5933], [0.7784, 0.4067, 0.7467], [0.2533, 0.6600, 0.0317], [0.9683, 0.6283, 0.2216], [0.0317, 0.2533, 0.6600], [0.3505, 0.0000, 0.3505], [0.6600, 0.0317, 0.2533], [0.5933, 0.3717, 0.3400], [0.6495, 0.6495, 0.0000], [0.7467, 0.7784, 0.4067], [0.6495, 0.0000, 0.6495], [0.0000, 0.0000, 0.0000], [0.8295, 0.3295, 0.5000], [0.6705, 0.5000, 0.1705], [0.1705, 0.6705, 0.5000], [0.5000, 0.8295, 0.3295], [0.3295, 0.5000, 0.8295], [0.5000, 0.1705, 0.6705], [0.2981, 0.2981, 0.2981], [0.7019, 0.0000, 0.0000], [0.0000, 0.0000, 0.7019], [0.0000, 0.7019, 0.0000]], "formation_energy_uncorrected_ev_per_atom": -0.7988, "magnetic_moment_mub_per_fu": 2.1, "crystal_system": "cubic"}

{"formula": "K6ZrBr12", "functional": "PBE", "state": "relaxed", "lattice_angstrom": [[-8.4967, -2.7547, -2.2713], [0.6876, -4.7139, 7.8897], [-2.3479, 8.1139, 3.6867]], "species": ["Br", "Br", "Br", "Br", "Br", "Br", "Br", "Br", "Br", "Br", "Br", "Br", "K", "K", "K", "K", "K", "K", "Zr"], "fractional_positions": [[0.1576, 0.5831, 0.4679], [0.8424, 0.4169, 0.5321], [0.5831, 0.4679, 0.1576], [0.4679, 0.1576, 0.5831], [0.7120, 0.0132, 0.9437], [0.9868, 0.0563, 0.2880], [0.0563, 0.2880, 0.9868], [0.5321, 0.8424, 0.4169], [0.2880, 0.9868, 0.0563], [0.4169, 0.5321, 0.8424], [0.9437, 0.7120, 0.0132], [0.0132, 0.9437, 0.7120], [0.3741, 0.8445, 0.7169], [0.1555, 0.2831, 0.6259], [0.2831, 0.6259, 0.1555], [0.7169, 0.3741, 0.8445], [0.6259, 0.1555, 0.2831], [0.8445, 0.7169, 0.3741], [0.0000, 0.0000, 0.0000]], "formation_energy_uncorrected_ev_per_atom": -1.4006, "magnetic_moment_mub_per_fu": 2.0, "crystal_system": "trigonal"}

{"formula": "PrH7Os2", "functional": "PBE", "state": "relaxed", "lattice_angstrom": [[3.3450, 0.0000, 0.0000], [0.0000, 4.7162, -2.5737], [0.0000, -0.0929, 5.4379]], "species": ["H", "H", "H", "H", "H", "H", "H", "Os", "Os", "Pr"], "fractional_positions": [[0.0000, 0.3735, 0.7470], [0.5000, 0.5000, 0.0000], [0.0000, 0.6265, 0.2530], [0.5000, 0.6695, 0.7002], [0.5000, 0.9693, 0.2998], [0.5000, 0.0307, 0.7002], [0.5000, 0.3305, 0.2998], [0.5000, 0.6840, 0.3680], [0.5000, 0.3160, 0.6320], [0.0000, 0.0000, 0.0000]], "total_energy_ev_per_atom": -5.09, "magnetic_moment_mub_per_fu": 0.0, "crystal_system": "orthorhombic"}

{"formula": "Tl2PbIO6", "functional": "PBE", "state": "relaxed", "lattice_angstrom": [[5.7977, 0.0001, 0.0005], [2.8990, 5.0208, 0.0001], [2.8985, 1.6732, 6.4560]], "species": ["O", "O", "O", "O", "O", "O", "Tl", "Tl", "Pb", "I"], "fractional_positions": [[0.0223, 0.5729, 0.1809], [0.2239, 0.0224, 0.1809], [0.3975, 0.6982, 0.8185], [0.0858, 0.3974, 0.8185], [0.5728, 0.2239, 0.1809], [0.6982, 0.0858, 0.8185], [0.5422, 0.5422, 0.3734], [0.0072, 0.0072, 0.9785], [0.7838, 0.7837, 0.6487], [0.3279, 0.3279, 0.0164]], "formation_energy_uncorrected_ev_per_atom": -0.5824, "magnetic_moment_mub_per_fu": 0.0, "crystal_system": "trigonal"}

{"formula": "MnNbCl6", "functional": "PBE", "state": "relaxed", "lattice_angstrom": [[5.9062, -1.5765, -1.4874], [-3.4605, 6.0733, -2.1787], [0.8318, 0.7203, 6.8453]], "species": ["Cl", "Cl", "Cl", "Cl", "Cl", "Cl", "Nb", "Mn"], "fractional_positions": [[0.5351, 0.2675, 0.0000], [0.1350, 0.8843, 0.2709], [0.4649, 0.7325, 0.0000], [0.8642, 0.6134, 0.7291], [0.8650, 0.1157, 0.7291], [0.1358, 0.3866, 0.2709], [0.0000, 0.5000, 0.0000], [0.0000, 0.0000, 0.0000]], "formation_energy_uncorrected_ev_per_atom": -1.1222, "magnetic_moment_mub_per_fu": 6.0, "crystal_system": "monoclinic"}

{"formula": "Sr2Ni3Sb4Ir", "functional": "PBE", "state": "relaxed", "lattice_angstrom": [[4.5579, 0.0000, 0.0000], [0.0000, 4.5579, 0.0000], [0.0000, 0.0000, 10.3428]], "species": ["Ni", "Ni", "Ni", "Ir", "Sr", "Sr", "Sb", "Sb", "Sb", "Sb"], "fractional_positions": [[0.5000, 0.0000, 0.8786], [0.0000, 0.5000, 0.1214], [0.0000, 0.0000, 0.5000], [0.5000, 0.5000, 0.5000], [0.0000, 0.5000, 0.7450], [0.5000, 0.0000, 0.2550], [0.5000, 0.5000, 0.0000], [0.5000, 0.0000, 0.6307], [0.0000, 0.5000, 0.3693], [0.0000, 0.0000, 0.0000]], "formation_energy_uncorrected_ev_per_atom": -0.5127, "magnetic_moment_mub_per_fu": 0.0, "crystal_system": "tetragonal"}